1.
Material: Si2BO
Method: DFT, PBE-GGA
State: relaxed

Calculated values
relative energy among the computed polymorphs: 0 meV/atom
D(E_F): 1.84 states/eV/f.u.
calculated volume: 11.95 A^3/atom
formation energy (no corrections): -8.9 kcal/mol of atoms

a b c (Å): 4.479 4.479 9.531
angles (deg): 90.00 90.00 90.00
Space group I-42d (No. 122)
Symmetry-distinct sites (fractional):
Si: 0.240 0.250 0.125 [8 per cell]
B: 0.000 0.000 0.000 [4 per cell]
O: 0.000 0.000 0.500 [4 per cell]

2.
Material: SrSc2Ta
Method: DFT, PBE-GGA
State: relaxed

Calculated values
relative energy among the computed polymorphs: 0 meV/atom
energy of formation: 0.3180 eV/atom
D(E_F): 6.22 states/eV/f.u.
calculated volume: 26.95 A^3/atom

a b c (Å): 3.232 3.232 10.317
angles (deg): 90.00 90.00 90.00
Space group P4/mmm (No. 123)
Symmetry-distinct sites (fractional):
Sr: 0.000 0.000 0.000 [1 per cell]
Sc: 0.500 0.500 0.309 [2 per cell]
Ta: 0.000 0.000 0.500 [1 per cell]